[1]
Density functional theory data (GGA-PBE) for crystalline Pm2Hg3Pd2 at its relaxed geometry.

abc: 5.6814 5.6814 7.5809
angles: 94.05 94.05 42.46
Sites, in units of the cell vectors:
Pm: 0.1201 0.1201 0.3369
Pm: 0.8799 0.8799 0.6631
Hg: 0.1925 0.1925 0.8599
Hg: 0.5000 0.5000 0.0000
Hg: 0.8075 0.8075 0.1401
Pd: 0.4051 0.4051 0.3689
Pd: 0.5949 0.5949 0.6311

## Properties
Calculated total energy, eV/atom: -3.515
Crystal system: monoclinic
ρ, g cm⁻³: 11.137
ΔE to the lowest computed polymorph, meV/atom: 37



[2]
Density functional theory data (GGA-PBE) for crystalline Ac12BiIr6 at its relaxed geometry.

abc: 9.4514 9.4514 9.4514
angles: 109.47 109.47 109.47
Sites, in units of the cell vectors:
Ac: 0.1355 0.3160 0.8196
Ac: 0.1804 0.4964 0.3160
Ac: 0.1804 0.8645 0.6840
Ac: 0.3160 0.1804 0.4964
Ac: 0.3160 0.8196 0.1355
Ac: 0.4964 0.3160 0.1804
Ac: 0.5036 0.6840 0.8196
Ac: 0.6840 0.1804 0.8645
Ac: 0.6840 0.8196 0.5036
Ac: 0.8196 0.1355 0.3160
Ac: 0.8196 0.5036 0.6840
Ac: 0.8645 0.6840 0.1804
Bi: 0.0000 0.0000 0.0000
Ir: 0.1298 0.5000 0.6298
Ir: 0.3702 0.8702 0.5000
Ir: 0.5000 0.3702 0.8702
Ir: 0.5000 0.6298 0.1298
Ir: 0.6298 0.1298 0.5000
Ir: 0.8702 0.5000 0.3702

## Properties
Calculated total energy, eV/atom: -6.145
Crystal system: cubic
ρ, g cm⁻³: 10.440



[3]
Density functional theory data (GGA-PBE) for crystalline InRh2Pb at its relaxed geometry.

abc: 3.1925 3.5749 6.3607
angles: 90.00 90.00 90.00
Sites, in units of the cell vectors:
In: 0.0000 0.0000 0.0000
Rh: 0.5000 0.5000 0.2399
Rh: 0.5000 0.5000 0.7601
Pb: 0.0000 0.0000 0.5000

## Properties
Calculated total energy, eV/atom: -5.439
Crystal system: orthorhombic
ρ, g cm⁻³: 12.074



What did we get for ΔE_f? Answer: -0.54, -0.55, -0.15 eV/atom, in the order shown.